! CsSi2N, relaxed, DFT GGA-PBE; values from VASP
&SYSTEM
  ibrav = 0, nat = 8, ntyp = 3
/
ATOMIC_SPECIES
Cs 132.91 Cs.upf
Si 28.09 Si.upf
N 14.01 N.upf
CELL_PARAMETERS angstrom
4.966 0.000 0.000
0.000 4.966 0.000
2.483 2.483 6.919
ATOMIC_POSITIONS crystal
Cs 0.000 0.000 0.000
Cs 0.750 0.250 0.500
Si 0.375 0.125 0.250
Si 0.375 0.625 0.250
Si 0.375 0.625 0.750
Si 0.875 0.625 0.750
N 0.500 0.500 0.000
N 0.250 0.750 0.500
! Formation energy (no corrections) (eV/atom): 0.681
! Volume (Å³ per cell): 171
! DOS(E_F) (states/eV/atom): 0.3607
! Raw total energy (eV per atom): -4.33


! Ba4HAu2, relaxed, DFT GGA-PBE; values from VASP
&SYSTEM
  ibrav = 0, nat = 7, ntyp = 3
/
ATOMIC_SPECIES
H 1.01 H.upf
Au 196.97 Au.upf
Ba 137.33 Ba.upf
CELL_PARAMETERS angstrom
5.329 0.000 0.000
0.000 5.329 0.000
-2.664 -2.664 8.756
ATOMIC_POSITIONS crystal
H 0.000 0.000 0.000
Au 0.626 0.626 0.253
Au 0.374 0.374 0.747
Ba 0.814 0.814 0.628
Ba 0.186 0.186 0.372
Ba 0.000 0.500 0.000
Ba 0.500 0.000 0.000
! Offset from the most stable computed form (meV/atom): 42
! Volume (Å³ per cell): 249
! DOS(E_F) (states/eV/atom): 0.7567
! Raw total energy (eV per atom): -2.99


! Sm3Pa4C8, relaxed, DFT GGA-PBE; values from VASP
&SYSTEM
  ibrav = 0, nat = 15, ntyp = 3
/
ATOMIC_SPECIES
Sm 150.36 Sm.upf
Pa 231.04 Pa.upf
C 12.01 C.upf
CELL_PARAMETERS angstrom
-4.124 -5.104 3.087
1.562 -0.369 -7.079
7.092 0.354 1.506
ATOMIC_POSITIONS crystal
Sm 0.500 0.500 0.000
Sm 0.500 0.000 0.500
Sm 0.500 0.500 0.500
Pa 0.500 0.000 0.000
Pa 0.000 0.500 0.000
Pa 0.000 0.000 0.000
Pa 0.000 0.000 0.500
C 0.436 0.208 0.208
C 0.000 0.773 0.227
C 0.977 0.223 0.223
C 0.500 0.760 0.240
C 0.500 0.240 0.760
C 0.023 0.777 0.777
C 0.000 0.227 0.773
C 0.564 0.792 0.792
! Energy relative to the elements (meV per atom): 98
! Volume (Å³ per cell): 270
! DOS(E_F) (states/eV/atom): 0.7770
! Raw total energy (eV per atom): -8.30


! CaPm4TmS8, relaxed, DFT GGA-PBE; values from VASP
&SYSTEM
  ibrav = 0, nat = 14, ntyp = 4
/
ATOMIC_SPECIES
Ca 40.08 Ca.upf
Pm 145.00 Pm.upf
Tm 168.93 Tm.upf
S 32.06 S.upf
CELL_PARAMETERS angstrom
8.259 0.000 0.000
4.129 7.152 0.000
4.129 2.384 6.673
ATOMIC_POSITIONS crystal
Ca 0.376 0.376 0.873
Pm 0.624 0.624 0.128
Pm 0.002 0.495 0.502
Pm 0.495 0.002 0.502
Pm 0.002 0.002 0.502
Tm 0.002 0.002 0.994
S 0.235 0.779 0.751
S 0.779 0.235 0.751
S 0.235 0.235 0.751
S 0.242 0.242 0.275
S 0.765 0.222 0.248
S 0.222 0.765 0.248
S 0.765 0.765 0.248
S 0.758 0.758 0.727
! Formation energy (no corrections) (eV/atom): -1.981
! Volume (Å³ per cell): 394
! DOS(E_F) (states/eV/atom): 0.2303
! Raw total energy (eV per atom): -6.16


! RuS2Cl, relaxed, DFT GGA-PBE; values from VASP
&SYSTEM
  ibrav = 0, nat = 8, ntyp = 3
/
ATOMIC_SPECIES
Ru 101.07 Ru.upf
S 32.06 S.upf
Cl 35.45 Cl.upf
CELL_PARAMETERS angstrom
-6.025 -0.040 1.877
-1.740 -2.248 -5.634
-3.364 -5.482 -0.308
ATOMIC_POSITIONS crystal
Ru 0.000 0.000 0.000
Ru 0.750 0.250 0.500
S 0.717 0.125 0.250
S 0.033 0.625 0.250
S 0.375 0.283 0.750
S 0.875 0.967 0.750
Cl 0.500 0.500 0.000
Cl 0.250 0.750 0.500
! Offset from the most stable computed form (meV/atom): 192
! Formation energy (no corrections) (eV/atom): 0.002
! Volume (Å³ per cell): 185
! DOS(E_F) (states/eV/atom): 0.6841
! Raw total energy (eV per atom): -4.84


! PaRe2Mo, relaxed, DFT GGA-PBE; values from VASP
&SYSTEM
  ibrav = 0, nat = 4, ntyp = 3
/
ATOMIC_SPECIES
Re 186.21 Re.upf
Mo 95.94 Mo.upf
Pa 231.04 Pa.upf
CELL_PARAMETERS angstrom
3.242 0.000 0.000
0.000 4.698 0.000
0.000 0.000 4.698
ATOMIC_POSITIONS crystal
Re 0.000 0.000 0.500
Re 0.000 0.500 0.000
Mo 0.500 0.500 0.500
Pa 0.500 0.000 0.000
! Energy relative to the elements (meV per atom): 142
! Offset from the most stable computed form (meV/atom): 69
! Volume (Å³ per cell): 72
! DOS(E_F) (states/eV/atom): 0.7860
! Raw total energy (eV per atom): -11.16


! YTeP2, relaxed, DFT GGA-PBE; values from VASP
&SYSTEM
  ibrav = 0, nat = 4, ntyp = 3
/
ATOMIC_SPECIES
P 30.97 P.upf
Te 127.60 Te.upf
Y 88.91 Y.upf
CELL_PARAMETERS angstrom
-3.422 -3.639 -0.642
2.373 0.577 -4.404
2.216 -4.301 -1.406
ATOMIC_POSITIONS crystal
P 0.000 0.000 0.000
P 0.500 0.500 0.000
Te 0.500 0.000 0.500
Y 0.000 0.500 0.500
! Formation energy (no corrections) (eV/atom): -0.399
! Volume (Å³ per cell): 98
! DOS(E_F) (states/eV/atom): 0.1721
! Raw total energy (eV per atom): -5.51


! LiReTeI2, relaxed, DFT GGA-PBE; values from VASP
&SYSTEM
  ibrav = 0, nat = 5, ntyp = 4
/
ATOMIC_SPECIES
I 126.90 I.upf
Re 186.21 Re.upf
Te 127.60 Te.upf
Li 6.94 Li.upf
CELL_PARAMETERS angstrom
-3.410 5.564 -1.164
-2.996 -2.488 -3.119
-4.059 -1.433 5.041
ATOMIC_POSITIONS crystal
I 0.000 0.000 0.500
I 0.500 0.000 0.000
Re 0.000 0.500 0.000
Te 0.000 0.000 0.000
Li 0.500 0.500 0.500
! Offset from the most stable computed form (meV/atom): 500
! Formation energy (no corrections) (eV/atom): 0.836
! Volume (Å³ per cell): 219
! DOS(E_F) (states/eV/atom): 0.4504
! Raw total energy (eV per atom): -3.28